# 1
# PuPa2MoN4, relaxed, DFT PBE
# - magnetization (Bohr magnetons per cell) = 9.50
# - space-group type = Cmcm (63)
# - formation energy without anion corrections (meV per atom) = -1132
# - Fermi-level density of states (states/eV per atom) = 1.512
# - E (eV per atom) = -10.81
data_PuPa2MoN4
_chemical_formula_sum 'Pu2 Pa4 Mo2 N8'
_cell_length_a 3.3553
_cell_length_b 6.2017
_cell_length_c 11.6757
_cell_angle_alpha 90.00
_cell_angle_beta 90.00
_cell_angle_gamma 105.69
_space_group_name_H-M_alt 'P 1'
_space_group_IT_number 1
loop_
_space_group_symop_operation_xyz
'x,y,z'
loop_
_atom_site_label
_atom_site_fract_x
_atom_site_fract_y
_atom_site_fract_z
_atom_site_occupancy
Pu1 0.1129 0.2258 0.7500 1
Pu2 0.8871 0.7742 0.2500 1
Pa1 0.3681 0.7362 0.5509 1
Pa2 0.6319 0.2638 0.0509 1
Pa3 0.6319 0.2638 0.4491 1
Pa4 0.3681 0.7362 0.9491 1
Mo1 0.8516 0.7032 0.7500 1
Mo2 0.1484 0.2968 0.2500 1
N1 0.2752 0.5505 0.1210 1
N2 0.7248 0.4495 0.6210 1
N3 0.7248 0.4495 0.8790 1
N4 0.2752 0.5505 0.3790 1
N5 0.0000 0.0000 0.5000 1
N6 0.0000 0.0000 0.0000 1
N7 0.4652 0.9304 0.7500 1
N8 0.5348 0.0696 0.2500 1



# 2
# Pu2PaMoN4, relaxed, DFT PBE
# - magnetization (Bohr magnetons per cell) = 17.78
# - space-group type = Cmcm (63)
# - formation energy without anion corrections (meV per atom) = -1027
# - Fermi-level density of states (states/eV per atom) = 1.229
# - E (eV per atom) = -11.31
data_Pu2PaMoN4
_chemical_formula_sum 'Pu4 Pa2 Mo2 N8'
_cell_length_a 3.3009
_cell_length_b 6.1339
_cell_length_c 11.6778
_cell_angle_alpha 90.00
_cell_angle_beta 90.00
_cell_angle_gamma 105.61
_space_group_name_H-M_alt 'P 1'
_space_group_IT_number 1
loop_
_space_group_symop_operation_xyz
'x,y,z'
loop_
_atom_site_label
_atom_site_fract_x
_atom_site_fract_y
_atom_site_fract_z
_atom_site_occupancy
Pu1 0.3684 0.7368 0.5488 1
Pu2 0.6316 0.2632 0.0488 1
Pu3 0.6316 0.2632 0.4512 1
Pu4 0.3684 0.7368 0.9512 1
Pa1 0.1199 0.2398 0.7500 1
Pa2 0.8801 0.7602 0.2500 1
Mo1 0.8576 0.7152 0.7500 1
Mo2 0.1424 0.2848 0.2500 1
N1 0.2784 0.5569 0.1310 1
N2 0.7216 0.4431 0.6310 1
N3 0.7216 0.4431 0.8690 1
N4 0.2784 0.5569 0.3690 1
N5 0.0000 0.0000 0.5000 1
N6 0.0000 0.0000 0.0000 1
N7 0.4730 0.9460 0.7500 1
N8 0.5270 0.0540 0.2500 1



# 3
# Rb3Pa3MoN8, relaxed, DFT PBE
# - magnetization (Bohr magnetons per cell) = 0.00
# - space-group type = R-3m (166)
# - formation energy without anion corrections (meV per atom) = -914
# - E (eV per atom) = -8.17
data_Rb3Pa3MoN8
_chemical_formula_sum 'Rb3 Pa3 Mo1 N8'
_cell_length_a 6.9255
_cell_length_b 6.9259
_cell_length_c 7.8743
_cell_angle_alpha 116.11
_cell_angle_beta 90.00
_cell_angle_gamma 120.00
_space_group_name_H-M_alt 'P 1'
_space_group_IT_number 1
loop_
_space_group_symop_operation_xyz
'x,y,z'
loop_
_atom_site_label
_atom_site_fract_x
_atom_site_fract_y
_atom_site_fract_z
_atom_site_occupancy
Rb1 0.0000 0.0000 0.0000 1
Rb2 0.0000 0.5000 0.0000 1
Rb3 0.5000 0.5000 0.0000 1
Pa1 0.5000 0.0000 0.5000 1
Pa2 0.5000 0.5000 0.5000 1
Pa3 0.0000 0.5000 0.5000 1
Mo1 0.0000 0.0000 0.5000 1
N1 0.2813 0.5626 0.3440 1
N2 0.7187 0.4374 0.6560 1
N3 0.7953 0.5906 0.3498 1
N4 0.2047 0.4094 0.6502 1
N5 0.7953 0.0544 0.3498 1
N6 0.2047 0.9456 0.6502 1
N7 0.2591 0.0544 0.3498 1
N8 0.7409 0.9456 0.6502 1



# 4
# Pa2MoRhN5, relaxed, DFT PBE
# - magnetization (Bohr magnetons per cell) = 0.70
# - space-group type = Cmc2_1 (36)
# - formation energy without anion corrections (meV per atom) = -858
# - Fermi-level density of states (states/eV per atom) = 0.456
# - E (eV per atom) = -9.61
data_Pa2MoRhN5
_chemical_formula_sum 'Pa4 Mo2 Rh2 N10'
_cell_length_a 3.3634
_cell_length_b 6.6410
_cell_length_c 10.1512
_cell_angle_alpha 90.00
_cell_angle_beta 90.00
_cell_angle_gamma 104.67
_space_group_name_H-M_alt 'P 1'
_space_group_IT_number 1
loop_
_space_group_symop_operation_xyz
'x,y,z'
loop_
_atom_site_label
_atom_site_fract_x
_atom_site_fract_y
_atom_site_fract_z
_atom_site_occupancy
Pa1 0.8523 0.7047 0.8086 1
Pa2 0.1018 0.2036 0.6814 1
Pa3 0.1477 0.2953 0.3086 1
Pa4 0.8982 0.7964 0.1814 1
Mo1 0.7993 0.5986 0.5212 1
Mo2 0.2007 0.4014 0.0212 1
Rh1 0.5304 0.0609 0.9490 1
Rh2 0.4696 0.9391 0.4490 1
N1 0.3665 0.7331 0.9954 1
N2 0.6829 0.3657 0.8707 1
N3 0.4856 0.9711 0.7598 1
N4 0.2774 0.5549 0.6578 1
N5 0.9413 0.8827 0.5802 1
N6 0.6335 0.2669 0.4954 1
N7 0.3171 0.6343 0.3707 1
N8 0.5144 0.0289 0.2598 1
N9 0.7226 0.4451 0.1578 1
N10 0.0587 0.1173 0.0802 1



# 5
# Sr2PaMo2N6, relaxed, DFT PBE
# - magnetization (Bohr magnetons per cell) = 0.00
# - space-group type = R-3m (166)
# - formation energy without anion corrections (meV per atom) = -821
# - Fermi-level density of states (states/eV per atom) = 0.345
# - E (eV per atom) = -8.50
data_Sr2PaMo2N6
_chemical_formula_sum 'Sr2 Pa1 Mo2 N6'
_cell_length_a 6.1362
_cell_length_b 6.1362
_cell_length_c 7.0117
_cell_angle_alpha 64.05
_cell_angle_beta 64.05
_cell_angle_gamma 60.00
_space_group_name_H-M_alt 'P 1'
_space_group_IT_number 1
loop_
_space_group_symop_operation_xyz
'x,y,z'
loop_
_atom_site_label
_atom_site_fract_x
_atom_site_fract_y
_atom_site_fract_z
_atom_site_occupancy
Sr1 0.7947 0.7947 0.6160 1
Sr2 0.2053 0.2053 0.3840 1
Pa1 0.0000 0.0000 0.0000 1
Mo1 0.4290 0.4290 0.7129 1
Mo2 0.5710 0.5710 0.2871 1
N1 0.7577 0.7577 0.2459 1
N2 0.2386 0.7577 0.2459 1
N3 0.7577 0.2386 0.2459 1
N4 0.2423 0.7614 0.7541 1
N5 0.7614 0.2423 0.7541 1
N6 0.2423 0.2423 0.7541 1



# 6
# Sr3Pa3MoN8, relaxed, DFT PBE
# - magnetization (Bohr magnetons per cell) = 1.61
# - space-group type = R-3m (166)
# - formation energy without anion corrections (meV per atom) = -1142
# - Fermi-level density of states (states/eV per atom) = 0.517
# - E (eV per atom) = -8.54
data_Sr3Pa3MoN8
_chemical_formula_sum 'Sr3 Pa3 Mo1 N8'
_cell_length_a 6.9670
_cell_length_b 6.9670
_cell_length_c 7.2080
_cell_angle_alpha 118.90
_cell_angle_beta 90.00
_cell_angle_gamma 120.00
_space_group_name_H-M_alt 'P 1'
_space_group_IT_number 1
loop_
_space_group_symop_operation_xyz
'x,y,z'
loop_
_atom_site_label
_atom_site_fract_x
_atom_site_fract_y
_atom_site_fract_z
_atom_site_occupancy
Sr1 0.0000 0.0000 0.0000 1
Sr2 0.0000 0.5000 0.0000 1
Sr3 0.5000 0.5000 0.0000 1
Pa1 0.5000 0.0000 0.5000 1
Pa2 0.5000 0.5000 0.5000 1
Pa3 0.0000 0.5000 0.5000 1
Mo1 0.0000 0.0000 0.5000 1
N1 0.2636 0.5273 0.2911 1
N2 0.7364 0.4727 0.7089 1
N3 0.7783 0.5565 0.3199 1
N4 0.2217 0.4435 0.6801 1
N5 0.7782 0.0416 0.3198 1
N6 0.2218 0.9584 0.6802 1
N7 0.2634 0.0416 0.3198 1
N8 0.7366 0.9584 0.6802 1



# 7
# SrPaMo2N6, relaxed, DFT PBE
# - magnetization (Bohr magnetons per cell) = 0.00
# - space-group type = C2/c (15)
# - formation energy without anion corrections (meV per atom) = -773
# - Fermi-level density of states (states/eV per atom) = 0.647
# - E (eV per atom) = -9.05
data_SrPaMo2N6
_chemical_formula_sum 'Sr2 Pa2 Mo4 N12'
_cell_length_a 5.9695
_cell_length_b 7.3245
_cell_length_c 7.3245
_cell_angle_alpha 90.75
_cell_angle_beta 81.30
_cell_angle_gamma 81.30
_space_group_name_H-M_alt 'P 1'
_space_group_IT_number 1
loop_
_space_group_symop_operation_xyz
'x,y,z'
loop_
_atom_site_label
_atom_site_fract_x
_atom_site_fract_y
_atom_site_fract_z
_atom_site_occupancy
Sr1 0.2500 0.9100 0.0900 1
Sr2 0.7500 0.0900 0.9100 1
Pa1 0.2500 0.2996 0.7004 1
Pa2 0.7500 0.7004 0.2996 1
Mo1 0.2182 0.7879 0.6095 1
Mo2 0.2818 0.3905 0.2121 1
Mo3 0.7818 0.2121 0.3905 1
Mo4 0.7182 0.6095 0.7879 1
N1 0.1679 0.0033 0.7529 1
N2 0.3321 0.2471 0.9967 1
N3 0.8321 0.9967 0.2471 1
N4 0.6679 0.7529 0.0033 1
N5 0.3956 0.8295 0.3917 1
N6 0.1044 0.6083 0.1705 1
N7 0.6044 0.1705 0.6083 1
N8 0.8956 0.3917 0.8295 1
N9 0.9165 0.7142 0.5947 1
N10 0.5835 0.4053 0.2858 1
N11 0.0835 0.2858 0.4053 1
N12 0.4165 0.5947 0.7142 1



# 8
# SrPaMoN3, relaxed, DFT PBE
# - magnetization (Bohr magnetons per cell) = 0.00
# - space-group type = P2_1/m (11)
# - formation energy without anion corrections (meV per atom) = -992
# - Fermi-level density of states (states/eV per atom) = 0.209
# - E (eV per atom) = -8.82
data_SrPaMoN3
_chemical_formula_sum 'Sr2 Pa2 Mo2 N6'
_cell_length_a 3.5535
_cell_length_b 9.1675
_cell_length_c 6.6355
_cell_angle_alpha 102.28
_cell_angle_beta 90.00
_cell_angle_gamma 90.00
_space_group_name_H-M_alt 'P 1'
_space_group_IT_number 1
loop_
_space_group_symop_operation_xyz
'x,y,z'
loop_
_atom_site_label
_atom_site_fract_x
_atom_site_fract_y
_atom_site_fract_z
_atom_site_occupancy
Sr1 0.7500 0.7258 0.7033 1
Sr2 0.2500 0.2742 0.2967 1
Pa1 0.2500 0.6500 0.1626 1
Pa2 0.7500 0.3500 0.8374 1
Mo1 0.2500 0.0579 0.6293 1
Mo2 0.7500 0.9421 0.3707 1
N1 0.2500 0.8352 0.4755 1
N2 0.7500 0.7823 0.0956 1
N3 0.7500 0.4853 0.1809 1
N4 0.7500 0.1648 0.5245 1
N5 0.2500 0.5147 0.8191 1
N6 0.2500 0.2177 0.9044 1



# 9
# SrPaMoN4, relaxed, DFT PBE
# - magnetization (Bohr magnetons per cell) = 0.00
# - space-group type = P2_1/m (11)
# - formation energy without anion corrections (meV per atom) = -920
# - Fermi-level density of states (states/eV per atom) = 0.626
# - E (eV per atom) = -8.82
data_SrPaMoN4
_chemical_formula_sum 'Sr2 Pa2 Mo2 N8'
_cell_length_a 6.0847
_cell_length_b 5.8020
_cell_length_c 7.1037
_cell_angle_alpha 90.00
_cell_angle_beta 107.21
_cell_angle_gamma 90.00
_space_group_name_H-M_alt 'P 1'
_space_group_IT_number 1
loop_
_space_group_symop_operation_xyz
'x,y,z'
loop_
_atom_site_label
_atom_site_fract_x
_atom_site_fract_y
_atom_site_fract_z
_atom_site_occupancy
Sr1 0.7085 0.7500 0.9270 1
Sr2 0.2915 0.2500 0.0730 1
Pa1 0.8016 0.7500 0.4507 1
Pa2 0.1984 0.2500 0.5493 1
Mo1 0.2605 0.7500 0.3269 1
Mo2 0.7395 0.2500 0.6731 1
N1 0.9674 0.4920 0.6948 1
N2 0.0326 0.9920 0.3052 1
N3 0.0326 0.5080 0.3052 1
N4 0.9674 0.0080 0.6948 1
N5 0.4679 0.7500 0.1755 1
N6 0.5321 0.2500 0.8245 1
N7 0.4726 0.7500 0.5702 1
N8 0.5274 0.2500 0.4298 1